DFT (PBE-GGA) results for a relaxed structure of ReSeF2.

Values from the calculation:
Formation energy without anion corrections ... 0.259 eV/atom
D(E_F) ... 5.3 states/eV per cell

a b c (Å): 6.0469 6.0469 6.0469
angles (deg): 90.00 90.00 90.00
Closest atoms and distances in Å follow each position.
Space group Fm-3m (No. 225)
Unique sites:
Re: 0.0000 0.0000 0.0000 x4  8 F 2.62
Se: 0.0000 0.0000 0.5000 x4  8 F 2.62
F: 0.2500 0.2500 0.2500 x8  4 Re 2.62, 4 Se 2.62


DFT (PBE-GGA) results for a relaxed structure of ReSe2F.

Values from the calculation:
Formation energy without anion corrections ... -0.298 eV/atom
D(E_F) ... 2.1 states/eV per cell

a b c (Å): 3.2673 3.2673 24.0158
angles (deg): 90.00 90.00 120.00
Closest atoms and distances in Å follow each position.
Space group R-3m (No. 166, hexagonal axes)
Unique sites:
Re: 0.0000 0.0000 0.0000 x3  6 Se 2.56
Se: 0.0000 0.0000 0.4054 x6  1 F 2.27
F: 0.0000 0.0000 0.5000 x3  2 Se 2.27


DFT (PBE-GGA) results for a relaxed structure of Re4Se8F.

Values from the calculation:
Formation energy without anion corrections ... -0.178 eV/atom
D(E_F) ... 19.4 states/eV per cell

a b c (Å): 11.0552 6.3814 8.3494
angles (deg): 90.00 116.25 90.00
Closest atoms and distances in Å follow each position.
Space group C2/m (No. 12)
Unique sites:
Re: 0.0000 0.0000 0.0000 x2  6 Se 2.54
Re: 0.0000 0.5000 0.0000 x2  6 Se 2.56-2.57
Re: 0.2500 0.2500 0.0000 x4  6 Se 2.56-2.57
Se: 0.0038 0.2477 0.7639 x8  3 Re 2.54-2.56, 1 F 2.71
Se: 0.2440 0.0000 0.2361 x4  3 Re 2.54-2.56, 1 F 2.71
Se: 0.2465 0.5000 0.2391 x4  3 Re 2.57
F: 0.0000 0.5000 0.5000 x2  6 Se 2.71


DFT (PBE-GGA) results for a relaxed structure of ReSe3F.

Values from the calculation:
Formation energy without anion corrections ... -0.367 eV/atom
D(E_F) ... 0.0 states/eV per cell

a b c (Å): 4.6327 7.5322 8.7809
angles (deg): 105.39 104.94 90.02
Closest atoms and distances in Å follow each position.
Space group P-1 (No. 2)
Unique sites:
Re: 0.1763 0.3067 0.3484 x2  4 Se 2.26-2.51
Se: 0.0325 0.2710 0.0722 x2  1 F 1.89
Se: 0.1984 0.0241 0.3933 x2  1 Re 2.26
Se: 0.3084 0.5588 0.6197 x2  3 Re 2.51-2.55
F: 0.3788 0.2604 0.9954 x2  1 Se 1.89